Here is crystalline Sm2ThBr at its relaxed geometry from Alexandria. Energies are from GGA-PBE.

a = 10.448 Å, b = 10.448 Å, c = 10.448 Å
α = 20.52°, β = 20.52°, γ = 20.52°
Fractional coordinates of all 4 atoms:
Sm 0.243 0.243 0.243
Sm 0.757 0.757 0.757
Th 0.000 0.000 0.000
Br 0.500 0.500 0.500

Values from the calculation:
Raw formation energy = -570 meV/atom
Size of the total moment = 0.00 μB per formula unit
SG = R-3m (166)
Calculated total energy = -20.81 eV per cell